Record 1
Density functional theory data (PBE) for a relaxed structure of SmTaN2.

Cell: 3.1960 3.1960 17.6189 Å, 90.00 90.00 120.00°
Space group R3m (No. 160, hexagonal axes)
Asymmetric unit:
Sm 0.0000 0.0000 0.0000 [3 per cell]
Ta 0.0000 0.0000 0.8245 [3 per cell]
N 0.0000 0.0000 0.4213 [3 per cell]
N 0.0000 0.0000 0.5663 [3 per cell]

Properties
Density ... 11.48 g/cm3
Raw formation energy ... -1177 meV per atom

=====

Record 2
Density functional theory data (PBE) for a relaxed structure of Pu3Pt2.

Cell: 5.670 16.134 5.831 Å, 90.00 90.00 90.00°
Space group Ibam (No. 72)
Asymmetric unit:
Pu 0.000 0.000 0.250 [4 per cell]
Pu 0.217 0.326 0.000 [8 per cell]
Pt 0.221 0.145 0.000 [8 per cell]

Properties
Density ... 13.97 g/cm3
Calculated formation energy ... -2.23 eV/f.u.

=====

Record 3
Density functional theory data (PBE) for a relaxed structure of NdGa2SiIr2.

Cell: 4.562 4.562 5.586 Å, 90.00 90.00 90.00°
Space group P4/mmm (No. 123)
Asymmetric unit:
Nd 0.000 0.000 0.000 [1 per cell]
Ga 0.500 0.500 0.237 [2 per cell]
Si 0.000 0.000 0.500 [1 per cell]
Ir 0.000 0.500 0.500 [2 per cell]

Properties
Density ... 9.95 g/cm3
Raw formation energy ... -381 meV per atom

=====

Record 4
Density functional theory data (PBE) for a relaxed structure of Sc2NiAg.

Cell: 6.291 3.658 7.357 Å, 90.00 106.88 90.00°
Space group C2/m (No. 12)
Asymmetric unit:
Sc 0.236 0.000 0.208 [4 per cell]
Ni 0.000 0.500 0.000 [2 per cell]
Ag 0.000 0.000 0.500 [2 per cell]

Properties
Density ... 5.26 g/cm3
Calculated formation energy ... -0.61 eV/f.u.

=====

Record 5
Density functional theory data (PBE) for a relaxed structure of Tm5Bi2Rh.

Cell: 7.974 12.340 4.471 Å, 90.00 90.00 90.00°
Space group Pbam (No. 55)
Asymmetric unit:
Tm 0.000 0.000 0.000 [2 per cell]
Tm 0.145 0.305 0.000 [4 per cell]
Tm 0.179 0.565 0.500 [4 per cell]
Bi 0.064 0.826 0.500 [4 per cell]
Rh 0.000 0.500 0.000 [2 per cell]

Properties
Energy above the lowest structure with this stoichiometry ... 0 meV/atom
Density ... 10.31 g/cm3
Calculated formation energy ... -5.45 eV/f.u.

=====

Record 6
Density functional theory data (PBE) for a relaxed structure of Sm5Sb4S.

Cell: 9.798 9.798 6.234 Å, 90.00 90.00 90.00°
Space group I4 (No. 79)
Asymmetric unit:
Sm 0.000 0.000 0.000 [2 per cell]
Sm 0.099 0.288 0.499 [8 per cell]
Sb 0.095 0.301 0.999 [8 per cell]
S 0.000 0.000 0.499 [2 per cell]

Properties
Energy above the lowest structure with this stoichiometry ... 0 meV/atom
Density ... 7.05 g/cm3
Raw formation energy ... -1324 meV per atom

=====

Record 7
Density functional theory data (PBE) for a relaxed structure of Na2TmTl9.

Cell: 4.807 4.807 14.642 Å, 90.00 90.00 90.00°
Space group P4/mmm (No. 123)
Asymmetric unit:
Na 0.000 0.000 0.174 [2 per cell]
Tm 0.000 0.000 0.500 [1 per cell]
Tl 0.000 0.500 0.000 [2 per cell]
Tl 0.000 0.500 0.338 [4 per cell]
Tl 0.500 0.500 0.171 [2 per cell]
Tl 0.500 0.500 0.500 [1 per cell]

Properties
Density ... 10.08 g/cm3
Calculated formation energy ... -1.05 eV/f.u.

=====

Record 8
Density functional theory data (PBE) for a relaxed structure of MnGaSe.

Cell: 3.279 3.011 9.908 Å, 90.00 90.00 90.00°
Space group Amm2 (No. 38)
Asymmetric unit:
Mn 0.000 0.000 0.000 [2 per cell]
Ga 0.000 0.000 0.702 [2 per cell]
Se 0.500 0.000 0.402 [2 per cell]

Properties
Energy above the lowest structure with this stoichiometry ... 192 meV/atom
Density ... 6.91 g/cm3
Raw formation energy ... 83 meV per atom

=====

Record 9
Density functional theory data (PBE) for a relaxed structure of YSe2Cl.

Cell: 4.183 4.183 9.858 Å, 90.00 90.00 90.00°
Space group I4/mmm (No. 139)
Asymmetric unit:
Y 0.000 0.000 0.000 [2 per cell]
Se 0.000 0.500 0.250 [4 per cell]
Cl 0.000 0.000 0.500 [2 per cell]

Properties
Energy above the lowest structure with this stoichiometry ... 310 meV/atom
Density ... 5.44 g/cm3
Raw formation energy ... -1092 meV per atom

=====

Record 10
Density functional theory data (PBE) for a relaxed structure of Er5As2C2.

Cell: 17.099 7.219 6.473 Å, 90.00 90.00 90.00°
Space group Ima2 (No. 46)
Asymmetric unit:
Er 0.022 0.244 0.000 [8 per cell]
Er 0.141 0.577 0.775 [8 per cell]
Er 0.250 0.123 0.823 [4 per cell]
As 0.104 0.544 0.230 [8 per cell]
C 0.000 0.000 0.246 [4 per cell]
C 0.250 0.086 0.179 [4 per cell]

Properties
Density ... 8.40 g/cm3
Calculated formation energy ... -6.46 eV/f.u.

=====

Record 11
Density functional theory data (PBE) for a relaxed structure of BeSnPtSe2.

Cell: 5.299 5.299 5.018 Å, 90.00 90.00 90.00°
Space group P4/mmm (No. 123)
Asymmetric unit:
Be 0.000 0.000 0.000 [1 per cell]
Sn 0.500 0.500 0.500 [1 per cell]
Pt 0.500 0.500 0.000 [1 per cell]
Se 0.000 0.500 0.500 [2 per cell]

Properties
Density ... 5.66 g/cm3
Raw formation energy ... 1107 meV per atom

=====

Record 12
Density functional theory data (PBE) for a relaxed structure of Pm3Y8Tm2.

Cell: 6.193 6.196 11.301 Å, 89.95 79.52 80.44°
Space group P-1 (No. 2)
Asymmetric unit:
Pm 0.000 0.000 0.000 [1 per cell]
Pm 0.386 0.769 0.462 [2 per cell]
Y 0.076 0.156 0.694 [2 per cell]
Y 0.154 0.308 0.384 [2 per cell]
Y 0.309 0.617 0.771 [2 per cell]
Y 0.460 0.922 0.152 [2 per cell]
Tm 0.230 0.462 0.075 [2 per cell]

Properties
Energy above the lowest structure with this stoichiometry ... 0 meV/atom
Density ... 5.86 g/cm3
Calculated formation energy ... 0.29 eV/f.u.